First-principles (GGA-PBE) data for Ce2MgCoBi after structural relaxation, as listed in the Alexandria database.

Calculated formation energy (eV per atom): -0.450
Magnetic moment (μB/f.u.): 0.9

Lattice parameters (Å, degrees): 5.007 5.007 5.020 90.00 90.00 90.00
Space group P4/mmm (No. 123)
One atom of each set of equivalent atoms:
Ce  0.000  0.500  0.000 x2
Mg  0.000  0.000  0.500 x1
Co  0.000  0.000  0.000 x1
Bi  0.500  0.500  0.500 x1